# CrAgP2O8

Crystalline CrAgP2O8 at its relaxed geometry (GGA+U, Alexandria via LeMat-Bulk).

```
data_CrAgP2O8
_chemical_formula_sum 'Cr3 Ag3 P6 O24'
_space_group_name_H-M_alt 'R -3'
_space_group_IT_number 148
_space_group_name_Hall '-R 3'
_cell_length_a 4.7628
_cell_length_b 4.7628
_cell_length_c 22.3067
_cell_angle_alpha 90.00
_cell_angle_beta 90.00
_cell_angle_gamma 120.00
loop_
_atom_site_label
_atom_site_fract_x
_atom_site_fract_y
_atom_site_fract_z
_atom_site_occupancy
Cr1 0.0000 0.0000 0.0000 1
Ag1 0.0000 0.0000 0.5000 1
P1 0.0000 0.0000 0.2593 1
O1 0.0000 0.0000 0.1902 1
O2 0.0116 0.3749 0.3846 1
```

Values from the calculation:
- Fermi-level density of states: 5.9 states/eV/f.u.
- DFT total energy: -6.65 eV per atom
- Calculated volume: 438.2 Å³/cell
- Magnetization: 0.961 μB/f.u.